1.
This record from Alexandria describes a geometry-optimized BaLi2InHg4 structure. The functional is PBE-GGA.

Cell lengths 10.871, 10.871, 10.871 Å; angles 25.56, 25.56, 25.56 degrees
Element x y z (fractional)
Ba1 0.000 0.000 0.000
Li1 0.222 0.222 0.222
Li2 0.778 0.778 0.778
In1 0.500 0.500 0.500
Hg1 0.121 0.121 0.121
Hg2 0.400 0.400 0.400
Hg3 0.600 0.600 0.600
Hg4 0.879 0.879 0.879

## Properties
The calculation puts the calculated formation energy at -0.343 eV/atom. Its spin magnetization is 0.0 μB per formula unit. The value obtained for the total energy is -1.56 eV/atom.

---

2.
This record from Alexandria describes a geometry-optimized Ti5Pt8Au structure. The functional is PBE-GGA.

Cell lengths 6.737, 6.737, 6.737 Å; angles 109.17, 109.17, 110.07 degrees
Element x y z (fractional)
Ti1 0.000 0.000 0.000
Ti2 0.263 0.613 0.074
Ti3 0.387 0.461 0.650
Ti4 0.539 0.189 0.926
Ti5 0.811 0.737 0.350
Pt1 0.020 0.420 0.265
Pt2 0.112 0.167 0.739
Pt3 0.155 0.755 0.735
Pt4 0.245 0.980 0.400
Pt5 0.428 0.373 0.261
Pt6 0.580 0.845 0.600
Pt7 0.627 0.888 0.055
Pt8 0.833 0.572 0.945
Au1 0.750 0.250 0.500

## Properties
The calculation puts the calculated formation energy at -0.637 eV/atom. Its spin magnetization is 0.0 μB per formula unit. The value obtained for the total energy is -7.14 eV/atom.

---

3.
This record from Alexandria describes a geometry-optimized TlAs2Os structure. The functional is PBE-GGA.

Cell lengths 3.192, 3.192, 7.878 Å; angles 90.00, 90.00, 90.00 degrees
Element x y z (fractional)
Tl1 0.000 0.000 0.000
As1 0.000 0.000 0.560
As2 0.500 0.500 0.341
Os1 0.500 0.500 0.704

## Properties
The calculation puts the calculated formation energy at 0.470 eV/atom. Its spin magnetization is 0.0 μB per formula unit. The value obtained for the total energy is -5.25 eV/atom.

---

4.
This record from Alexandria describes a geometry-optimized Al2WCl structure. The functional is PBE-GGA.

Cell lengths 3.005, 3.005, 7.747 Å; angles 90.00, 90.00, 90.00 degrees
Element x y z (fractional)
Al1 0.000 0.000 0.215
Al2 0.000 0.000 0.785
W1 0.500 0.500 0.000
Cl1 0.500 0.500 0.500

## Properties
As for the uncorrected formation energy: 0.251 eV per formula unit. Its spin magnetization is 0.0 μB per formula unit. The value obtained for the total energy is -5.51 eV/atom.

---

| no. | D(E_F) (states/eV per cell) |
| --- | --- |
| 1 | 5.19 |
| 2 | 11.66 |
| 3 | 2.18 |
| 4 | 2.59 |